A relaxed InSe3 crystal, computed with PBE.

## Properties
ΔE_f (raw) (eV per atom): -0.09
DFT total energy (eV/atom): -3.39
D(E_F) (states/eV per cell): 4.36

Unit cell a=4.9870 b=4.9870 c=4.9870 alpha=109.45 beta=109.45 gamma=109.45
Last column: nearest neighbours and their distance in Å.
Element x y z (fractional)
Se  0.0000  0.5000  0.5000  2 In 2.88, 4 Se 2.88
Se  0.5000  0.5000  0.0000  4 Se 2.88, 2 In 2.88
Se  0.5000  0.0000  0.5000  4 Se 2.88, 2 In 2.88
In  0.0000  0.0000  0.0000  6 Se 2.88

A relaxed In3Se5 crystal, computed with PBE.

## Properties
ΔE_f (raw) (eV per atom): -0.09
DFT total energy (eV/atom): -3.30
D(E_F) (states/eV per cell): 6.88

Unit cell a=5.5573 b=5.5573 c=7.1267 alpha=90.00 beta=90.00 gamma=91.52
Last column: nearest neighbours and their distance in Å.
Element x y z (fractional)
Se  0.2634  0.2634  0.5000  4 In 2.76-2.81
Se  0.7366  0.7366  0.5000  4 In 2.76-2.81
Se  0.0000  0.0000  0.0000  4 Se 2.78
Se  0.5000  0.0000  0.0000  2 In 2.78, 2 Se 2.78
Se  0.0000  0.5000  0.0000  2 In 2.78, 2 Se 2.78
In  0.5000  0.5000  0.0000  4 Se 2.78
In  0.7668  0.2332  0.5000  4 Se 2.76-2.81
In  0.2332  0.7668  0.5000  4 Se 2.76-2.81

A relaxed InSe3 crystal, computed with PBE.

## Properties
ΔE_f (raw) (eV per atom): -0.21
DFT total energy (eV/atom): -3.51

Unit cell a=5.5165 b=6.7103 c=6.7436 alpha=111.29 beta=92.04 gamma=104.34
Last column: nearest neighbours and their distance in Å.
Element x y z (fractional)
Se  0.7072  0.3088  0.6006  1 Se 2.42
Se  0.9683  0.9516  0.8651  1 Se 2.47
Se  0.9859  0.5784  0.2272  1 Se 2.39
Se  0.4014  0.2568  0.8398  1 Se 2.42
Se  0.3333  0.5412  0.4191  1 Se 2.39
Se  0.6053  0.9238  0.0668  1 Se 2.47, 1 In 2.75
In  0.1826  0.5851  0.8359  6 Se 2.75-2.93
In  0.7460  0.8783  0.4544  5 Se 2.71-2.84

- Which value of DFT total energy does entry 3 give?
  -3.51 eV/atom